First-principles (PBE) data for a relaxed Cd6Ag10Hg crystal, as listed in the Alexandria database.

Cell lengths 8.172, 8.172, 5.824 Å; angles 90.00, 90.00, 120.00 degrees
Atoms (fractional coordinates):
Cd 0.000 0.352 0.325
Cd 0.000 0.648 0.675
Cd 0.352 0.000 0.325
Cd 0.352 0.352 0.675
Cd 0.648 0.000 0.675
Cd 0.648 0.648 0.325
Ag 0.000 0.305 0.841
Ag 0.000 0.695 0.159
Ag 0.305 0.000 0.841
Ag 0.305 0.305 0.159
Ag 0.333 0.667 0.000
Ag 0.333 0.667 0.500
Ag 0.667 0.333 0.000
Ag 0.667 0.333 0.500
Ag 0.695 0.000 0.159
Ag 0.695 0.695 0.841
Hg 0.000 0.000 0.500

Results
The energy of formation comes out at 4 meV per atom. Its total energy is -2.013 eV per atom. As for the volume: 19.811 A^3/atom. As for the density of states at the Fermi level: 0.42 states/eV/atom.


First-principles (PBE) data for a relaxed Pm6Ge2C crystal, as listed in the Alexandria database.

Cell lengths 6.714, 6.714, 12.302 Å; angles 90.00, 90.00, 90.00 degrees
Atoms (fractional coordinates):
Pm 0.193 0.193 0.146
Pm 0.193 0.193 0.854
Pm 0.226 0.226 0.500
Pm 0.274 0.726 0.000
Pm 0.307 0.693 0.354
Pm 0.307 0.693 0.646
Pm 0.693 0.307 0.354
Pm 0.693 0.307 0.646
Pm 0.726 0.274 0.000
Pm 0.774 0.774 0.500
Pm 0.807 0.807 0.146
Pm 0.807 0.807 0.854
Ge 0.000 0.000 0.331
Ge 0.000 0.000 0.669
Ge 0.500 0.500 0.169
Ge 0.500 0.500 0.831
C 0.000 0.000 0.000
C 0.500 0.500 0.500

Results
The energy of formation comes out at -263 meV per atom. Its total energy is -5.481 eV per atom. As for the volume: 30.813 A^3/atom. Its energy above the lowest structure with this stoichiometry is 0.2023 eV/atom. As for the density of states at the Fermi level: 1.38 states/eV/atom.


First-principles (PBE) data for a relaxed LiAg2Rh crystal, as listed in the Alexandria database.

Cell lengths 9.443, 2.764, 4.975 Å; angles 90.00, 98.31, 90.00 degrees
Atoms (fractional coordinates):
Li 0.000 0.000 0.000
Li 0.500 0.500 0.000
Ag 0.246 0.000 0.750
Ag 0.254 0.500 0.250
Ag 0.746 0.500 0.750
Ag 0.754 0.000 0.250
Rh 0.000 0.500 0.500
Rh 0.500 0.000 0.500

Results
The energy of formation comes out at 44 meV per atom. Its total energy is -3.698 eV per atom. As for the volume: 16.061 A^3/atom. As for the density of states at the Fermi level: 0.45 states/eV/atom.